[1]
Entry from the Alexandria database: a relaxed TaNbNF2 crystal (GGA-PBE).

a b c (Å): 4.1547 4.1547 4.1020
angles (deg): 90.00 90.00 90.00
Space group P4/mmm (No. 123)
One atom of each set of equivalent atoms:
Ta1 0.0000 0.0000 0.0000
Nb1 0.5000 0.5000 0.5000
N1 0.0000 0.0000 0.5000
F1 0.0000 0.5000 0.0000

Values from the calculation:
formation energy without anion corrections	-2.96	eV/f.u.



[2]
Entry from the Alexandria database: a relaxed Na3Y3SbO8 crystal (GGA-PBE).

a b c (Å): 6.8274 6.8274 16.8358
angles (deg): 90.00 90.00 120.00
Space group R-3m (No. 166, hexagonal axes)
One atom of each set of equivalent atoms:
Na1 0.0000 0.5000 0.0000
Y1 0.0000 0.5000 0.5000
Sb1 0.0000 0.0000 0.5000
O1 0.0000 0.0000 0.2358
O2 0.0218 0.5109 0.2334

Values from the calculation:
formation energy without anion corrections	-37.07	eV/f.u.



[3]
Entry from the Alexandria database: a relaxed NbIrRh4 crystal (GGA-PBE).

a b c (Å): 4.3649 4.3649 5.4521
angles (deg): 90.00 90.00 120.00
Space group P6/mmm (No. 191)
One atom of each set of equivalent atoms:
Nb1 0.0000 0.0000 0.0000
Ir1 0.0000 0.0000 0.5000
Rh1 0.3333 0.6667 0.2568

Values from the calculation:
formation energy from the elements	-0.97	eV/f.u.



[4]
Entry from the Alexandria database: a relaxed PuPa6Ti crystal (GGA-PBE).

a b c (Å): 6.3663 9.4289 12.6421
angles (deg): 90.00 90.00 90.00
Space group Fmmm (No. 69)
One atom of each set of equivalent atoms:
Pu1 0.0000 0.0000 0.0000
Pa1 0.0000 0.0000 0.2547
Pa2 0.2500 0.2500 0.1166
Ti1 0.0000 0.0000 0.5000

Values from the calculation:
formation energy from the elements	0.33	eV/f.u.



[5]
Entry from the Alexandria database: a relaxed SiNiPd crystal (GGA-PBE).

a b c (Å): 6.1049 6.1049 3.5731
angles (deg): 90.00 90.00 120.00
Space group P-62m (No. 189)
One atom of each set of equivalent atoms:
Si1 0.0000 0.0000 0.0000
Si2 0.3333 0.6667 0.5000
Ni1 0.0000 0.2521 0.5000
Pd1 0.0000 0.5972 0.0000

Values from the calculation:
formation energy without anion corrections	-1.87	eV/f.u.



[6]
Entry from the Alexandria database: a relaxed Mg2ScAu2 crystal (GGA-PBE).

a b c (Å): 7.9688 7.9688 3.0166
angles (deg): 90.00 90.00 90.00
Space group P4/mbm (No. 127)
One atom of each set of equivalent atoms:
Mg1 0.1276 0.3724 0.0000
Sc1 0.0000 0.0000 0.0000
Au1 0.1712 0.6712 0.5000

Values from the calculation:
formation energy from the elements	-2.32	eV/f.u.



[7]
Entry from the Alexandria database: a relaxed ZnSnBiI2 crystal (GGA-PBE).

a b c (Å): 5.4754 5.4754 5.6620
angles (deg): 90.00 90.00 90.00
Space group P4/mmm (No. 123)
One atom of each set of equivalent atoms:
Zn1 0.0000 0.0000 0.0000
Sn1 0.5000 0.5000 0.5000
Bi1 0.0000 0.0000 0.5000
I1 0.0000 0.5000 0.0000

Values from the calculation:
formation energy without anion corrections	1.12	eV/f.u.



[8]
Entry from the Alexandria database: a relaxed CsAl3Re crystal (GGA-PBE).

a b c (Å): 5.0188 5.0188 5.0188
angles (deg): 90.00 90.00 90.00
Space group Pm-3m (No. 221)
One atom of each set of equivalent atoms:
Cs1 0.0000 0.0000 0.0000
Al1 0.0000 0.5000 0.5000
Re1 0.5000 0.5000 0.5000

Values from the calculation:
formation energy from the elements	0.81	eV/f.u.



[9]
Entry from the Alexandria database: a relaxed DyBeZn6Cu crystal (GGA-PBE).

a b c (Å): 6.6778 8.1704 11.0250
angles (deg): 90.00 90.00 90.00
Space group Imma (No. 74)
One atom of each set of equivalent atoms:
Dy1 0.0000 0.2500 0.1976
Be1 0.0000 0.0000 0.0000
Zn1 0.0000 0.2500 0.4902
Zn2 0.0000 0.2500 0.9174
Zn3 0.2007 0.0040 0.6216
Cu1 0.2500 0.2500 0.7500

Values from the calculation:
formation energy from the elements	0.49	eV/f.u.



[10]
Entry from the Alexandria database: a relaxed AcUAgS5 crystal (GGA-PBE).

a b c (Å): 9.1206 10.8945 9.6245
angles (deg): 90.00 114.03 90.00
Space group C2/c (No. 15)
One atom of each set of equivalent atoms:
Ac1 0.0000 0.0766 0.2500
U1 0.2500 0.2500 0.0000
Ag1 0.0000 0.4926 0.7500
S1 0.0000 0.2013 0.7500
S2 0.0592 0.3090 0.1104
S3 0.2123 0.0247 0.0694

Values from the calculation:
formation energy without anion corrections	-9.70	eV/f.u.



[11]
Entry from the Alexandria database: a relaxed MgTc3F crystal (GGA-PBE).

a b c (Å): 4.2326 4.2326 4.2326
angles (deg): 90.00 90.00 90.00
Space group Pm-3m (No. 221)
One atom of each set of equivalent atoms:
Mg1 0.0000 0.0000 0.0000
Tc1 0.0000 0.5000 0.5000
F1 0.5000 0.5000 0.5000

Values from the calculation:
formation energy without anion corrections	3.92	eV/f.u.



[12]
Entry from the Alexandria database: a relaxed Dy2Tm6Ga crystal (GGA-PBE).

a b c (Å): 9.0807 17.0250 3.4736
angles (deg): 90.00 90.00 90.00
Space group Cmmm (No. 65)
One atom of each set of equivalent atoms:
Dy1 0.0000 0.1800 0.0000
Tm1 0.1733 0.3389 0.5000
Tm2 0.2141 0.0000 0.0000
Ga1 0.0000 0.5000 0.5000

Values from the calculation:
formation energy from the elements	0.19	eV/f.u.